Entry 1:
DFT (GGA-PBE) results for Ba6HAu2 after structural relaxation.

Unit cell a=4.392 b=7.995 c=12.425 alpha=76.65 beta=79.82 gamma=74.06
Fractional coordinates of all 9 atoms:
1 Ba 0.814 0.264 0.109
2 Ba 0.186 0.736 0.891
3 Ba 0.344 0.761 0.552
4 Ba 0.991 0.242 0.776
5 Ba 0.009 0.758 0.224
6 Ba 0.656 0.239 0.448
7 Au 0.327 0.046 0.300
8 Au 0.673 0.954 0.700
9 H 0.000 0.000 0.000

Results
D(E_F) (states/eV/atom): 0.9546
M_tot (μB/cell): 0.071
Space-group type: C2/m (12)
Energy relative to the lowest polymorph listed for this composition (eV per atom): 0.043

Entry 2:
DFT (GGA-PBE) results for CaSiOs2 after structural relaxation.

Unit cell a=5.388 b=5.388 c=5.388 alpha=148.65 beta=125.81 gamma=63.95
Fractional coordinates of all 4 atoms:
1 Si 0.750 0.250 0.500
2 Os 0.539 0.539 0.000
3 Os 0.961 0.961 0.000
4 Ca 0.250 0.750 0.500

Results
D(E_F) (states/eV/atom): 0.8925
M_tot (μB/cell): 0.000
Space-group type: Immm (71)
Formation energy (no corrections) (eV per atom): 0.2313

- Among the records above, which one has the highest M_tot?
  Ba6HAu2

- Look up the M_tot of the second one.
  0.000 μB/cell

Repeat the first record exactly.
DFT (GGA-PBE) results for Ba6HAu2 after structural relaxation.

Unit cell a=4.392 b=7.995 c=12.425 alpha=76.65 beta=79.82 gamma=74.06
Fractional coordinates of all 9 atoms:
1 Ba 0.814 0.264 0.109
2 Ba 0.186 0.736 0.891
3 Ba 0.344 0.761 0.552
4 Ba 0.991 0.242 0.776
5 Ba 0.009 0.758 0.224
6 Ba 0.656 0.239 0.448
7 Au 0.327 0.046 0.300
8 Au 0.673 0.954 0.700
9 H 0.000 0.000 0.000

Results
D(E_F) (states/eV/atom): 0.9546
M_tot (μB/cell): 0.071
Space-group type: C2/m (12)
Energy relative to the lowest polymorph listed for this composition (eV per atom): 0.043